Entry 1:
The following is a DFT calculation (PBE) of Cs2LaRe2N6 after structural relaxation.

Geometry as POSCAR:
```
Cs2LaRe2N6
1.0
6.6272 0.0000 0.0000
-3.3136 5.7412 -0.2426
0.0000 -3.5721 6.7024
N Re Cs La
6 2 2 1
Direct
0.7582 0.9697 0.7233
0.2432 0.4865 0.2820
0.2115 0.9697 0.7233
0.7885 0.0303 0.2767
0.2418 0.0303 0.2767
0.7568 0.5135 0.7180
0.9317 0.8634 0.7915
0.0683 0.1366 0.2085
0.2768 0.5536 0.8271
0.7232 0.4464 0.1729
0.5000 0.0000 0.5000
```



Entry 2:
The following is a DFT calculation (PBE) of CsLaReN4 after structural relaxation.

Geometry as POSCAR:
```
CsLaReN4
1.0
6.4190 0.0000 0.1476
0.0000 6.1364 0.0000
-2.3285 0.0000 8.0762
N Cs La Re
8 2 2 2
Direct
0.4405 0.7500 0.5561
0.5736 0.2500 0.7877
0.9301 0.0152 0.6602
0.0699 0.5152 0.3398
0.5595 0.2500 0.4439
0.0699 0.9848 0.3398
0.9301 0.4848 0.6602
0.4264 0.7500 0.2123
0.2874 0.2500 0.0762
0.7126 0.7500 0.9238
0.7785 0.7500 0.4399
0.2215 0.2500 0.5601
0.2518 0.7500 0.3544
0.7482 0.2500 0.6456
```



Entry 3:
The following is a DFT calculation (PBE) of CsLaSN2 after structural relaxation.

Geometry as POSCAR:
```
CsLaSN2
1.0
4.3512 0.0000 0.0000
0.0000 4.3512 0.0000
0.0000 0.0000 6.0487
N La Cs S
2 1 1 1
Direct
0.5000 0.0000 0.0000
0.0000 0.5000 0.0000
0.5000 0.5000 0.5000
0.0000 0.0000 0.0000
0.0000 0.0000 0.5000
```



Entry 4:
The following is a DFT calculation (PBE) of CsLaSbN2 after structural relaxation.

Geometry as POSCAR:
```
CsLaSbN2
1.0
-1.2214 -1.3098 -4.0888
-1.8189 -5.1136 2.1815
-4.0629 1.7269 0.6605
La N Cs Sb
1 2 1 1
Direct
0.5000 0.5000 0.5000
0.5000 0.0000 0.0000
0.0000 0.0000 0.5000
0.0000 0.5000 0.0000
0.0000 0.0000 0.0000
```



Entry 5:
The following is a DFT calculation (PBE) of CsLaSeN2 after structural relaxation.

Geometry as POSCAR:
```
CsLaSeN2
1.0
4.4582 0.0000 0.0000
0.0000 4.4582 0.0000
0.0000 0.0000 6.3087
Se La N Cs
1 1 2 1
Direct
0.0000 0.0000 0.5000
0.5000 0.5000 0.5000
0.0000 0.5000 0.0000
0.5000 0.0000 0.0000
0.0000 0.0000 0.0000
```



Entry 6:
The following is a DFT calculation (PBE) of CsLaTcN3 after structural relaxation.

Geometry as POSCAR:
```
CsLaTcN3
1.0
3.9906 0.0000 0.0000
-1.9953 7.0648 -0.0095
0.0000 -2.0994 8.2992
Cs La N Tc
2 2 6 2
Direct
0.3617 0.7234 0.9281
0.6383 0.2766 0.0719
0.3399 0.6797 0.4166
0.6601 0.3203 0.5834
0.8455 0.6911 0.6125
0.8785 0.7571 0.2307
0.1215 0.2429 0.7693
0.1545 0.3089 0.3875
0.5135 0.0269 0.3480
0.4865 0.9731 0.6520
0.9917 0.9835 0.6530
0.0083 0.0165 0.3470
```



Entry 7:
The following is a DFT calculation (PBE) of CsLa2U3N8 after structural relaxation.

Geometry as POSCAR:
```
CsLa2U3N8
1.0
-2.3483 5.6890 3.4537
-3.5946 -0.7640 6.0252
3.2624 1.8880 6.3191
La N U Cs
2 8 3 1
Direct
0.5023 0.5023 0.4931
0.1057 0.1057 0.6830
0.3414 0.7400 0.1787
0.2765 0.2765 0.1704
0.7400 0.3414 0.1787
0.6917 0.2535 0.8014
0.7188 0.7188 0.8435
0.2535 0.2535 0.8014
0.2535 0.6917 0.8014
0.7400 0.7400 0.1787
0.9955 0.5020 0.0006
0.5020 0.5020 0.0006
0.5020 0.9955 0.0006
0.8700 0.8700 0.3901
```



Entry 8:
The following is a DFT calculation (PBE) of CsNa2La2 after structural relaxation.

Geometry as POSCAR:
```
CsNa2La2
1.0
10.9603 0.0000 0.0000
0.0000 10.9603 0.0000
0.0000 0.0000 3.6796
Na La Cs
4 4 2
Direct
0.6885 0.1885 0.0000
0.3115 0.8115 0.0000
0.8115 0.6885 0.0000
0.1885 0.3115 0.0000
0.5936 0.9064 0.5000
0.9064 0.4064 0.5000
0.0936 0.5936 0.5000
0.4064 0.0936 0.5000
0.0000 0.0000 0.0000
0.5000 0.5000 0.0000
```



Entry 9:
The following is a DFT calculation (PBE) of CsNa2La after structural relaxation.

Geometry as POSCAR:
```
CsNa2La
1.0
-1.5469 3.4720 -0.0872
-3.6163 0.4432 -1.0868
-6.1211 -0.3041 13.5932
Cs La Na
1 1 2
Direct
0.5000 0.5000 0.5000
0.0000 0.0000 0.0000
0.9197 0.9197 0.2410
0.0803 0.0803 0.7590
```



Entry 10:
The following is a DFT calculation (PBE) of Cs2NaLa2 after structural relaxation.

Geometry as POSCAR:
```
Cs2NaLa2
1.0
12.5007 0.0000 0.0000
0.0000 12.5007 0.0000
0.0000 0.0000 3.8697
Cs Na La
4 2 4
Direct
0.2977 0.2023 0.5000
0.7023 0.7977 0.5000
0.2023 0.7023 0.5000
0.7977 0.2977 0.5000
0.0000 0.0000 0.0000
0.5000 0.5000 0.0000
0.9201 0.5799 0.0000
0.4201 0.9201 0.0000
0.0799 0.4201 0.0000
0.5799 0.0799 0.0000
```



Entry 11:
The following is a DFT calculation (PBE) of Cs2NaLa after structural relaxation.

Geometry as POSCAR:
```
Cs2NaLa
1.0
0.0000 5.0390 5.0390
5.0390 0.0000 5.0390
5.0390 5.0390 0.0000
Cs Na La
2 1 1
Direct
0.2500 0.2500 0.2500
0.7500 0.7500 0.7500
0.0000 0.0000 0.0000
0.5000 0.5000 0.5000
```



Entry 12:
The following is a DFT calculation (PBE) of CsNaLaPb2 after structural relaxation.

Geometry as POSCAR:
```
CsNaLaPb2
1.0
-3.1856 3.2425 3.5595
-3.9104 0.7553 -4.1876
-2.8148 -4.7169 1.7777
La Pb Cs Na
1 2 1 1
Direct
0.0000 0.5000 0.0000
0.0000 0.0000 0.5000
0.5000 0.0000 0.0000
0.5000 0.5000 0.5000
0.0000 0.0000 0.0000
```



| no. | E_tot (Ry/atom) |
| --- | --- |
| 1 | -0.5692 |
| 2 | -0.5749 |
| 3 | -0.3094 |
| 4 | -0.2778 |
| 5 | -0.2975 |
| 6 | -0.5327 |
| 7 | -0.6701 |
| 8 | -0.1682 |
| 9 | -0.1281 |
| 10 | -0.1446 |
| 11 | -0.1009 |
| 12 | -0.1917 |